Entry 1:
# Rb2NbS4

A relaxed Rb2NbS4 crystal (PBE, Alexandria).

a b c (Å): 4.9452 4.9452 16.6407
angles (deg): 90.00 90.00 90.00
Last column: nearest neighbours and their distance in Å.
Space group I4/mmm (No. 139)
Unique sites:
Rb (0.0000, 0.0000, 0.1473) [4 per cell]  9 S 3.46-3.50
Nb (0.0000, 0.0000, 0.5000) [2 per cell]  6 S 2.41-2.47
S (0.0000, 0.0000, 0.3553) [4 per cell]  1 Nb 2.41
S (0.0000, 0.5000, 0.0000) [4 per cell]  2 Nb 2.47

Properties
For the energy relative to the elements, uncorrected, the calculation gives -876 meV per atom. As for the theoretical density: 3.20 g/cm3. The total energy is -34.6 eV per formula unit. The value obtained for the density of states at the Fermi level is 9.44 states/eV/cell. The calculation puts the polymorph energy (0 for the lowest one) at 116 meV/atom.

---

Entry 2:
# Rb2NbS4

A relaxed Rb2NbS4 crystal (PBE, Alexandria).

a b c (Å): 9.7481 12.8658 8.9316
angles (deg): 90.00 90.00 90.00
Last column: nearest neighbours and their distance in Å.
Space group Fmm2 (No. 42)
Unique sites:
Rb (0.2500, 0.2500, 0.0000) [8 per cell]  6 S 3.35-3.53
Nb (0.0000, 0.0000, 0.3783) [4 per cell]  4 S 2.29
S (0.0000, 0.1542, 0.2493) [8 per cell]  1 Nb 2.29
S (0.1684, 0.0000, 0.5571) [8 per cell]  1 Nb 2.29

Properties
For the energy relative to the elements, uncorrected, the calculation gives -909 meV per atom. As for the theoretical density: 2.32 g/cm3. The total energy is -34.9 eV per formula unit. The value obtained for the density of states at the Fermi level is 11.59 states/eV/cell. The calculation puts the polymorph energy (0 for the lowest one) at 84 meV/atom.

---

Entry 3:
# RbNbS3

A relaxed RbNbS3 crystal (PBE, Alexandria).

a b c (Å): 4.7677 4.7677 5.8545
angles (deg): 90.00 90.00 90.00
Last column: nearest neighbours and their distance in Å.
Space group P4mm (No. 99)
Unique sites:
Rb (0.0000, 0.0000, 0.0000) [1 per cell]  8 S 3.40-3.57
Nb (0.5000, 0.5000, 0.5492) [1 per cell]  5 S 2.22-2.45
S (0.0000, 0.5000, 0.4546) [2 per cell]  2 Nb 2.45
S (0.5000, 0.5000, 0.9278) [1 per cell]  1 Nb 2.22

Properties
For the energy relative to the elements, uncorrected, the calculation gives -963 meV per atom. As for the theoretical density: 3.43 g/cm3. The total energy is -28.2 eV per formula unit. The value obtained for the density of states at the Fermi level is 0.60 states/eV/cell. The calculation puts the polymorph energy (0 for the lowest one) at 121 meV/atom.

---

Entry 4:
# RbNbS3

A relaxed RbNbS3 crystal (PBE, Alexandria).

a b c (Å): 5.0524 5.0524 24.4633
angles (deg): 90.00 90.00 90.00
Last column: nearest neighbours and their distance in Å.
Space group I-4m2 (No. 119)
Unique sites:
Rb (0.0000, 0.0000, 0.0950) [4 per cell]  8 S 3.41-3.54
Nb (0.0000, 0.0000, 0.5000) [2 per cell]  4 S 2.53
Nb (0.0000, 0.5000, 0.2500) [2 per cell]  4 S 2.30
S (0.0000, 0.2112, 0.3229) [8 per cell]  1 S 2.13, 1 Nb 2.30
S (0.0000, 0.5000, 0.5011) [4 per cell]  2 Nb 2.53

Properties
For the energy relative to the elements, uncorrected, the calculation gives -574 meV per atom. As for the theoretical density: 2.92 g/cm3. The total energy is -26.3 eV per formula unit. The value obtained for the density of states at the Fermi level is 3.06 states/eV/cell. The calculation puts the polymorph energy (0 for the lowest one) at 510 meV/atom.

---

Entry 5:
# RbNb3S

A relaxed RbNb3S crystal (PBE, Alexandria).

a b c (Å): 4.8116 4.8116 4.8116
angles (deg): 90.00 90.00 90.00
Last column: nearest neighbours and their distance in Å.
Space group Pm-3m (No. 221)
Unique sites:
Rb (0.0000, 0.0000, 0.0000) [1 per cell]  12 Nb 3.40
Nb (0.0000, 0.5000, 0.5000) [3 per cell]  2 S 2.41
S (0.5000, 0.5000, 0.5000) [1 per cell]  6 Nb 2.41

Properties
For the energy relative to the elements, uncorrected, the calculation gives 840 meV per atom. As for the theoretical density: 5.91 g/cm3. The total energy is -31.1 eV per formula unit. The value obtained for the density of states at the Fermi level is 8.08 states/eV/cell. The calculation puts the polymorph energy (0 for the lowest one) at 0 meV/atom.

---

Entry 6:
# RbNb2S3

A relaxed RbNb2S3 crystal (PBE, Alexandria).

a b c (Å): 4.2849 15.6283 8.3232
angles (deg): 90.00 90.00 90.00
Last column: nearest neighbours and their distance in Å.
Space group Cmcm (No. 63)
Unique sites:
Rb (0.0000, 0.2233, 0.2500) [4 per cell]  8 S 3.39-3.76
Nb (0.0000, 0.0000, 0.0000) [4 per cell]  6 S 2.62-2.64
Nb (0.0000, 0.4786, 0.2500) [4 per cell]  6 S 2.48-2.72
S (0.0000, 0.1014, 0.7500) [4 per cell]  4 Nb 2.48-2.62
S (0.0000, 0.4049, 0.5460) [8 per cell]  4 Nb 2.49-2.72

Properties
For the energy relative to the elements, uncorrected, the calculation gives -986 meV per atom. As for the theoretical density: 4.38 g/cm3. The total energy is -39.4 eV per formula unit. The value obtained for the density of states at the Fermi level is 10.52 states/eV/cell.

---

Entry 7:
# Rb2Nb2S

A relaxed Rb2Nb2S crystal (PBE, Alexandria).

a b c (Å): 3.7176 3.7176 23.4851
angles (deg): 90.00 90.00 90.00
Last column: nearest neighbours and their distance in Å.
Space group I4/mmm (No. 139)
Unique sites:
Rb (0.0000, 0.0000, 0.0838) [4 per cell]  4 S 3.28
Nb (0.0000, 0.5000, 0.2500) [4 per cell]  4 Nb 2.63
S (0.0000, 0.0000, 0.5000) [2 per cell]  8 Rb 3.28

Properties
For the energy relative to the elements, uncorrected, the calculation gives 393 meV per atom. As for the theoretical density: 3.98 g/cm3. The total energy is -24.2 eV per formula unit. The value obtained for the density of states at the Fermi level is 9.98 states/eV/cell. The calculation puts the polymorph energy (0 for the lowest one) at 0 meV/atom.

---

Entry 8:
# Rb2Nb2S

A relaxed Rb2Nb2S crystal (PBE, Alexandria).

a b c (Å): 10.6934 10.6934 3.2336
angles (deg): 90.00 90.00 90.00
Last column: nearest neighbours and their distance in Å.
Space group P4/mbm (No. 127)
Unique sites:
Rb (0.2170, 0.2830, 0.0000) [4 per cell]  2 Rb 3.23, 2 Nb 3.58
Nb (0.0719, 0.5719, 0.5000) [4 per cell]  1 Nb 2.17
S (0.0000, 0.0000, 0.0000) [2 per cell]  2 S 3.23

Properties
For the energy relative to the elements, uncorrected, the calculation gives 1239 meV per atom. As for the theoretical density: 3.49 g/cm3. The total energy is -20.0 eV per formula unit. The value obtained for the density of states at the Fermi level is 11.36 states/eV/cell. The calculation puts the polymorph energy (0 for the lowest one) at 847 meV/atom.